Entry 1:
First-principles (PBE) data for a geometry-optimized Pr5Nd2Tm structure, as listed in Alexandria via LeMat-Bulk.

Results
- size of the total moment (μB/f.u.) = 0.00
- ρ (g cm⁻³) = 6.88
- final energy (eV/atom) = -4.663
- ΔE_f (eV/atom) = 0.075
- energy above the most stable polymorph in this dataset (meV/atom) = 60.5

Cell: 6.7436 6.7494 12.9468 Å, 77.95 77.51 83.30°
Space group P1 (No. 1)
One atom of each set of equivalent atoms:
Pr: 0.0000 0.0000 0.0000
Pr: 0.0068 0.7026 0.4994
Pr: 0.0543 0.7510 0.7624
Pr: 0.2110 0.4886 0.9969
Pr: 0.2612 0.5454 0.2656
Pr: 0.3803 0.0662 0.4344
Pr: 0.5598 0.8771 0.9287
Pr: 0.6909 0.3760 0.8276
Pr: 0.7497 0.7507 0.2668
Pr: 0.8778 0.1929 0.3317
Nd: 0.3452 0.0453 0.1654
Nd: 0.5520 0.8411 0.6627
Nd: 0.7071 0.4157 0.0962
Nd: 0.9136 0.2065 0.5983
Tm: 0.2617 0.2570 0.7505
Tm: 0.4971 0.4910 0.5131


Entry 2:
First-principles (PBE) data for a geometry-optimized Pr8Nd2Tm3 structure, as listed in Alexandria via LeMat-Bulk.

Results
- size of the total moment (μB/f.u.) = 0.00
- ρ (g cm⁻³) = 7.01
- final energy (eV/atom) = -4.553
- ΔE_f (eV/atom) = 0.154
- energy above the most stable polymorph in this dataset (meV/atom) = 0.0

Cell: 13.5827 11.8575 6.1807 Å, 90.00 113.76 90.00°
Space group C2/m (No. 12)
One atom of each set of equivalent atoms:
Pr: 0.0856 0.0000 0.2610
Pr: 0.1375 0.5000 0.6109
Pr: 0.1604 0.2622 0.1540
Nd: 0.1877 0.0000 0.8367
Tm: 0.0000 0.2346 0.5000
Tm: 0.0000 0.5000 0.0000


Entry 3:
First-principles (PBE) data for a geometry-optimized Pr12NdTm5 structure, as listed in Alexandria via LeMat-Bulk.

Results
- size of the total moment (μB/f.u.) = 0.00
- ρ (g cm⁻³) = 7.17
- final energy (eV/atom) = -4.668
- ΔE_f (eV/atom) = 0.025

Cell: 10.9371 5.1797 10.9515 Å, 90.00 90.43 90.00°
Space group P2/m (No. 10)
One atom of each set of equivalent atoms:
Pr: 0.0026 0.0000 0.1676
Pr: 0.1662 0.5000 0.6663
Pr: 0.1700 0.5000 0.0026
Pr: 0.3323 0.0000 0.4975
Pr: 0.3371 0.0000 0.8370
Pr: 0.4972 0.5000 0.3301
Nd: 0.0000 0.0000 0.5000
Tm: 0.1679 0.5000 0.3321
Tm: 0.3330 0.0000 0.1670
Tm: 0.5000 0.5000 0.0000


Entry 4:
First-principles (PBE) data for a geometry-optimized Pr6Nd2Tm5 structure, as listed in Alexandria via LeMat-Bulk.

Results
- size of the total moment (μB/f.u.) = 0.00
- ρ (g cm⁻³) = 7.36
- final energy (eV/atom) = -4.554
- ΔE_f (eV/atom) = 0.105

Cell: 11.8632 20.5715 3.6566 Å, 90.00 90.00 90.00°
Space group Pbam (No. 55)
One atom of each set of equivalent atoms:
Pr: 0.0572 0.0781 0.0000
Pr: 0.0813 0.3654 0.0000
Pr: 0.1767 0.6268 0.5000
Nd: 0.1645 0.7854 0.0000
Tm: 0.0000 0.5000 0.5000
Tm: 0.0957 0.2234 0.5000
Tm: 0.2001 0.9445 0.5000